(1)
{"formula": "Al4Tc", "functional": "PBEsol", "state": "optimized geometry", "spacegroup": "Cm", "e_above_lowest_polymorph_mev_per_atom": 0.0, "ef_mev_per_atom": -356, "lattice_angstrom": [[-5.0735, -0.1901, 0.6403], [-0.3029, -1.8729, 4.8040], [0.2477, 9.0703, 0.7752]], "species": ["Al", "Al", "Al", "Al", "Al", "Al", "Al", "Al", "Al", "Al", "Al", "Al", "Tc", "Tc", "Tc"], "frac_coords": [[0.5079, 0.8525, 0.0000], [0.1468, 0.5059, 0.0000], [0.6852, 0.4209, 0.1531], [0.6852, 0.2678, 0.8469], [0.2194, 0.2972, 0.2387], [0.2194, 0.0584, 0.7613], [0.8091, 0.6978, 0.7497], [0.8091, 0.9482, 0.2503], [0.5869, 0.5453, 0.4666], [0.5869, 0.0787, 0.5334], [0.0678, 0.7267, 0.4965], [0.0678, 0.2302, 0.5035], [0.9943, 0.0115, 0.0000], [0.3301, 0.5304, 0.7250], [0.3301, 0.8054, 0.2750]]}

(2)
{"formula": "Al5Tc", "functional": "PBEsol", "state": "optimized geometry", "spacegroup": "P-62m", "ef_mev_per_atom": -276, "lattice_angstrom": [[4.6065, 0.0000, 0.0000], [0.0000, 4.7100, 0.0000], [0.0000, -2.3550, 4.0790]], "species": ["Tc", "Al", "Al", "Al", "Al", "Al"], "frac_coords": [[0.5000, 0.0000, 0.0000], [0.0000, 0.3177, 0.3177], [0.0000, 0.6823, 0.0000], [0.0000, 0.0000, 0.6823], [0.5000, 0.3333, 0.6667], [0.5000, 0.6667, 0.3333]]}

(3)
{"formula": "AlTc3", "functional": "PBEsol", "state": "optimized geometry", "spacegroup": "Immm", "ef_mev_per_atom": -215, "lattice_angstrom": [[3.0619, 0.0000, 0.0000], [0.0000, 4.1918, 0.0000], [-1.5310, -2.0959, 4.2965]], "species": ["Tc", "Tc", "Tc", "Al"], "frac_coords": [[0.5000, 0.5000, 0.0000], [0.7495, 0.2495, 0.4991], [0.2505, 0.7505, 0.5009], [0.0000, 0.0000, 0.0000]]}

(4)
{"formula": "Al3Tc", "functional": "PBEsol", "state": "optimized geometry", "spacegroup": "Pmm2", "ef_mev_per_atom": -236, "lattice_angstrom": [[-1.2639, -0.6540, 2.3874], [-0.9555, -4.0284, -1.6095], [4.0620, -1.6429, 1.7004]], "species": ["Tc", "Al", "Al", "Al"], "frac_coords": [[0.0000, 0.5000, 0.3264], [0.0000, 0.0000, 0.0076], [0.5000, 0.0000, 0.5000], [0.5000, 0.5000, 0.8326]]}

(5)
{"formula": "Al4Tc", "functional": "PBEsol", "state": "optimized geometry", "spacegroup": "I4/mmm", "e_above_lowest_polymorph_mev_per_atom": 669.0, "ef_mev_per_atom": 313, "lattice_angstrom": [[-1.2655, 2.0245, -2.5121], [-3.0875, -1.5429, 0.3120], [0.3644, 4.3119, 5.6821]], "species": ["Tc", "Al", "Al", "Al", "Al"], "frac_coords": [[0.0000, 0.0000, 0.0000], [0.7500, 0.2500, 0.5000], [0.2500, 0.7500, 0.5000], [0.5918, 0.5918, 0.1836], [0.4082, 0.4082, 0.8164]]}

(6)
{"formula": "Al3Tc", "functional": "PBEsol", "state": "optimized geometry", "spacegroup": "P4/mmm", "ef_mev_per_atom": -349, "lattice_angstrom": [[3.2917, 0.0000, 0.0000], [0.0000, 3.2917, 0.0000], [0.0000, 0.0000, 5.3825]], "species": ["Al", "Al", "Al", "Tc"], "frac_coords": [[0.0000, 0.0000, 0.7353], [0.5000, 0.5000, 0.0000], [0.0000, 0.0000, 0.2647], [0.5000, 0.5000, 0.5000]]}

(7)
{"formula": "Al2Tc", "functional": "PBEsol", "state": "optimized geometry", "spacegroup": "P-3m1", "e_above_lowest_polymorph_mev_per_atom": 149.4, "ef_mev_per_atom": -231, "lattice_angstrom": [[-2.5489, 0.7359, -0.5117], [-1.0857, -0.9812, 3.9970], [1.3247, 3.9342, -0.9408]], "species": ["Tc", "Al", "Al"], "frac_coords": [[0.0000, 0.0000, 0.0000], [0.6605, 0.3333, 0.6667], [0.3395, 0.6667, 0.3333]]}

(8)
{"formula": "Al4Tc", "functional": "PBEsol", "state": "optimized geometry", "spacegroup": "I4/m", "e_above_lowest_polymorph_mev_per_atom": 66.3, "ef_mev_per_atom": -289, "lattice_angstrom": [[3.4338, 0.0000, 0.0000], [1.7169, 4.5985, 0.0000], [1.7169, 0.0000, 4.5985]], "species": ["Tc", "Al", "Al", "Al", "Al"], "frac_coords": [[0.0000, 0.0000, 0.0000], [0.6033, 0.1933, 0.6002], [0.7966, 0.6002, 0.8067], [0.3967, 0.8067, 0.3998], [0.2034, 0.3998, 0.1933]]}

(9)
{"formula": "Al3Tc", "functional": "PBEsol", "state": "optimized geometry", "spacegroup": "Immm", "ef_mev_per_atom": -314, "lattice_angstrom": [[-1.2367, -0.0669, -3.0882], [3.7619, -0.9400, -1.4861], [-2.1015, -3.5231, 2.7104]], "species": ["Tc", "Al", "Al", "Al"], "frac_coords": [[0.0000, 0.5000, 0.0000], [0.7437, 0.7437, 0.4874], [0.2563, 0.2563, 0.5126], [0.5000, 0.0000, 0.0000]]}

(10)
{"formula": "Al4Tc", "functional": "PBEsol", "state": "optimized geometry", "spacegroup": "Im-3m", "e_above_lowest_polymorph_mev_per_atom": 227.7, "ef_mev_per_atom": -128, "lattice_angstrom": [[-4.8904, 0.3358, 0.8512], [2.2876, -1.6475, 4.0995], [1.7851, 4.4845, -1.2066]], "species": ["Tc", "Al", "Al", "Al", "Al"], "frac_coords": [[0.0000, 0.0000, 0.0000], [0.0000, 0.0000, 0.5000], [0.0000, 0.5000, 0.0000], [0.5000, 0.0000, 0.0000], [0.5000, 0.5000, 0.5000]]}

(11)
{"formula": "Al3Tc", "functional": "PBEsol", "state": "optimized geometry", "spacegroup": "Pm-3n", "ef_mev_per_atom": -182, "lattice_angstrom": [[4.9091, 0.0000, 0.0000], [0.0000, 4.9091, 0.0000], [0.0000, 0.0000, 4.9091]], "species": ["Tc", "Tc", "Al", "Al", "Al", "Al", "Al", "Al"], "frac_coords": [[0.0000, 0.0000, 0.0000], [0.5000, 0.5000, 0.5000], [0.7500, 0.5000, 0.0000], [0.2500, 0.5000, 0.0000], [0.0000, 0.7500, 0.5000], [0.0000, 0.2500, 0.5000], [0.5000, 0.0000, 0.2500], [0.5000, 0.0000, 0.7500]]}

(12)
{"formula": "Al4TcTe", "functional": "PBEsol", "state": "optimized geometry", "spacegroup": "F-43m", "e_form_raw_ev_per_atom": 0.285, "lattice_angstrom": [[5.2117, 0.0000, 0.0000], [2.6058, 4.5135, 0.0000], [2.6058, 1.5045, 4.2553]], "species": ["Te", "Tc", "Al", "Al", "Al", "Al"], "frac_coords": [[0.0000, 0.0000, 0.0000], [0.7500, 0.7500, 0.7500], [0.3758, 0.3758, 0.3758], [0.3758, 0.3758, 0.8725], [0.8725, 0.3758, 0.3758], [0.3758, 0.8725, 0.3758]]}

(13)
{"formula": "Al2TcTe", "functional": "PBEsol", "state": "optimized geometry", "spacegroup": "P4mm", "e_form_raw_ev_per_atom": 0.011, "lattice_angstrom": [[3.1153, 0.0000, 0.0000], [0.0000, 3.1153, 0.0000], [0.0000, 0.0000, 7.5848]], "species": ["Te", "Tc", "Al", "Al"], "frac_coords": [[0.5000, 0.5000, 0.6862], [0.0000, 0.0000, 0.4794], [0.0000, 0.0000, 0.0508], [0.5000, 0.5000, 0.2836]]}

(14)
{"formula": "Al2TcTe", "functional": "PBEsol", "state": "optimized geometry", "spacegroup": "Cm", "e_form_raw_ev_per_atom": 0.004, "lattice_angstrom": [[3.1392, 0.0000, 0.0000], [-1.5696, 4.4019, -0.0432], [0.0000, -1.8630, 5.9966]], "species": ["Te", "Tc", "Al", "Al"], "frac_coords": [[0.8421, 0.6842, 0.2713], [0.4694, 0.9389, 0.6177], [0.9861, 0.9723, 0.9388], [0.2023, 0.4047, 0.6722]]}

(15)
{"formula": "Al2TcTe", "functional": "PBEsol", "state": "optimized geometry", "spacegroup": "P4/mmm", "e_form_raw_ev_per_atom": -0.034, "lattice_angstrom": [[3.3440, 0.0000, 0.0000], [0.0000, 3.3440, 0.0000], [0.0000, 0.0000, 6.0370]], "species": ["Te", "Tc", "Al", "Al"], "frac_coords": [[0.5000, 0.5000, 0.5000], [0.5000, 0.5000, 0.0000], [0.0000, 0.0000, 0.7900], [0.0000, 0.0000, 0.2100]]}

(16)
{"formula": "AlTcTe3", "functional": "PBEsol", "state": "optimized geometry", "spacegroup": "Pm-3m", "e_form_raw_ev_per_atom": 0.571, "lattice_angstrom": [[-0.4797, 3.2357, -4.0224], [1.0706, -3.8895, -3.2565], [-5.0501, -1.1320, -0.3083]], "species": ["Te", "Te", "Te", "Tc", "Al"], "frac_coords": [[0.0000, 0.5000, 0.0000], [0.0000, 0.0000, 0.5000], [0.5000, 0.0000, 0.0000], [0.0000, 0.0000, 0.0000], [0.5000, 0.5000, 0.5000]]}

(17)
{"formula": "YAlTc2Te", "functional": "PBEsol", "state": "optimized geometry", "spacegroup": "P4/mmm", "e_form_raw_ev_per_atom": 1.875, "lattice_angstrom": [[-0.0325, 2.3477, -4.2753], [1.6650, -4.0133, -2.2165], [-5.2748, -1.6962, -0.8913]], "species": ["Y", "Te", "Tc", "Tc", "Al"], "frac_coords": [[0.0000, 0.0000, 0.0000], [0.0000, 0.0000, 0.5000], [0.0000, 0.5000, 0.0000], [0.5000, 0.0000, 0.0000], [0.5000, 0.5000, 0.5000]]}

(18)
{"formula": "Al2TlTc", "functional": "PBEsol", "state": "optimized geometry", "spacegroup": "R-3m", "ef_mev_per_atom": 95, "lattice_angstrom": [[3.0461, 0.0000, 0.0000], [1.5230, 2.6380, 0.0000], [1.5230, 0.8793, 8.9159]], "species": ["Tl", "Tc", "Al", "Al"], "frac_coords": [[0.0000, 0.0000, 0.0000], [0.5000, 0.5000, 0.5000], [0.2359, 0.2359, 0.2922], [0.7641, 0.7641, 0.7078]]}

(19)
{"formula": "Al4TlTc", "functional": "PBEsol", "state": "optimized geometry", "spacegroup": "F-43m", "ef_mev_per_atom": 206, "lattice_angstrom": [[-0.3480, 3.4606, 3.8207], [2.3571, -0.8868, 4.5114], [4.1368, 2.7878, 1.3452]], "species": ["Tl", "Tc", "Al", "Al", "Al", "Al"], "frac_coords": [[0.0000, 0.0000, 0.0000], [0.7500, 0.7500, 0.7500], [0.3771, 0.3771, 0.3771], [0.3771, 0.3771, 0.8688], [0.8688, 0.3771, 0.3771], [0.3771, 0.8688, 0.3771]]}

(20)
{"formula": "AlTl2Tc", "functional": "PBEsol", "state": "optimized geometry", "spacegroup": "I4/mmm", "e_above_lowest_polymorph_mev_per_atom": 0.0, "ef_mev_per_atom": 575, "lattice_angstrom": [[4.1400, 0.0000, 0.0000], [0.0000, 4.1400, 0.0000], [-2.0700, -2.0700, 4.3533]], "species": ["Tl", "Tl", "Tc", "Al"], "frac_coords": [[0.7500, 0.2500, 0.5000], [0.2500, 0.7500, 0.5000], [0.5000, 0.5000, 0.0000], [0.0000, 0.0000, 0.0000]]}

(21)
{"formula": "AlTl2Tc", "functional": "PBEsol", "state": "optimized geometry", "spacegroup": "P2/m", "e_above_lowest_polymorph_mev_per_atom": 27.1, "ef_mev_per_atom": 602, "lattice_angstrom": [[3.0717, 0.0000, 0.0080], [0.0000, 5.0148, 0.0000], [-0.1684, 0.0000, 5.0685]], "species": ["Tl", "Tl", "Tc", "Al"], "frac_coords": [[0.7447, 0.0000, 0.7537], [0.2553, 0.0000, 0.2463], [0.0000, 0.5000, 0.0000], [0.5000, 0.5000, 0.5000]]}

(22)
{"formula": "AlTlTc", "functional": "PBEsol", "state": "optimized geometry", "spacegroup": "I4mm", "ef_mev_per_atom": 236, "lattice_angstrom": [[-3.2307, -0.5244, -0.1137], [0.3461, -1.5066, -2.8871], [2.0437, -3.1798, 3.7618]], "species": ["Tl", "Tc", "Al"], "frac_coords": [[0.6716, 0.6716, 0.3432], [0.3591, 0.3591, 0.7182], [0.9693, 0.9693, 0.9386]]}

(23)
{"formula": "Al2TlTc", "functional": "PBEsol", "state": "optimized geometry", "spacegroup": "I4/mmm", "ef_mev_per_atom": 160, "lattice_angstrom": [[-1.1959, 3.8200, 0.1988], [-2.6219, -0.9704, 2.8742], [4.7266, -0.6894, 1.2822]], "species": ["Tl", "Tc", "Al", "Al"], "frac_coords": [[0.0000, 0.5000, 0.0000], [0.5000, 0.0000, 0.0000], [0.7500, 0.7500, 0.5000], [0.2500, 0.2500, 0.5000]]}

(24)
{"formula": "AlVTc", "functional": "PBEsol", "state": "optimized geometry", "spacegroup": "I4mm", "ef_mev_per_atom": -392, "lattice_angstrom": [[3.0785, 0.0000, 0.0000], [0.0000, 3.0785, 0.0000], [-1.5392, -1.5392, 4.3569]], "species": ["Tc", "Al", "V"], "frac_coords": [[0.7744, 0.7744, 0.5488], [0.4522, 0.4522, 0.9045], [0.1334, 0.1334, 0.2668]]}

(25)
{"formula": "AlTcW2", "functional": "PBEsol", "state": "optimized geometry", "spacegroup": "Pm", "ef_mev_per_atom": -7, "lattice_angstrom": [[-1.9981, 1.8199, 0.0705], [-2.4327, -2.5739, -2.5007], [-1.1410, -2.9349, 4.1308]], "species": ["Tc", "W", "W", "Al"], "frac_coords": [[0.2263, 0.5000, 0.7436], [0.0091, 0.0000, 0.9963], [0.7931, 0.5000, 0.2581], [0.4716, 0.0000, 0.5020]]}

(26)
{"formula": "AlTcW2", "functional": "PBEsol", "state": "optimized geometry", "spacegroup": "Cmmm", "ef_mev_per_atom": 82, "lattice_angstrom": [[2.7081, -0.0066, 0.0000], [-0.9538, 2.5345, 0.0000], [0.0000, 0.0000, 8.7622]], "species": ["Tc", "W", "W", "Al"], "frac_coords": [[0.5000, 0.5000, 0.0000], [0.0000, 0.0000, 0.2484], [0.0000, 0.0000, 0.7516], [0.5000, 0.5000, 0.5000]]}

(27)
{"formula": "AlTc2W", "functional": "PBEsol", "state": "optimized geometry", "spacegroup": "Pmm2", "ef_mev_per_atom": -56, "lattice_angstrom": [[2.7510, 0.0000, 0.0000], [0.0000, 4.0863, 0.0000], [0.0000, 0.0000, 5.1439]], "species": ["Tc", "Tc", "W", "Al"], "frac_coords": [[0.0000, 0.0000, 0.9912], [0.5000, 0.5000, 0.2518], [0.0000, 0.0000, 0.4991], [0.5000, 0.5000, 0.7579]]}

(28)
{"formula": "AlTcW2", "functional": "PBEsol", "state": "optimized geometry", "spacegroup": "R-3m", "ef_mev_per_atom": 142, "lattice_angstrom": [[-1.0381, -0.6638, 2.5103], [-2.0277, -1.9139, 0.2130], [5.1322, -7.2849, 1.7535]], "species": ["Tc", "W", "W", "Al"], "frac_coords": [[0.0000, 0.0000, 0.0000], [0.2516, 0.2516, 0.2452], [0.7484, 0.7484, 0.7548], [0.5000, 0.5000, 0.5000]]}

(29)
{"formula": "AlTc2W", "functional": "PBEsol", "state": "optimized geometry", "spacegroup": "Imm2", "ef_mev_per_atom": -217, "lattice_angstrom": [[3.1029, 0.0000, 0.0000], [0.0000, 4.2177, 0.0000], [-1.5515, -2.1088, 4.3629]], "species": ["Tc", "Tc", "W", "Al"], "frac_coords": [[0.0035, 0.0035, 0.0071], [0.7511, 0.2511, 0.5021], [0.4931, 0.4931, 0.9862], [0.2523, 0.7523, 0.5046]]}

| no. | electronic total energy (eV per atom) |
| --- | --- |
| 1 | -5.882 |
| 2 | -5.563 |
| 3 | -9.688 |
| 4 | -6.121 |
| 5 | -5.213 |
| 6 | -6.235 |
| 7 | -6.714 |
| 8 | -5.816 |
| 9 | -6.199 |
| 10 | -5.654 |
| 11 | -6.067 |
| 12 | -4.908 |
| 13 | -5.733 |
| 14 | -5.740 |
| 15 | -5.778 |
| 16 | -4.616 |
| 17 | -5.519 |
| 18 | -5.425 |
| 19 | -4.838 |
| 20 | -4.580 |
| 21 | -4.553 |
| 22 | -5.760 |
| 23 | -5.360 |
| 24 | -8.723 |
| 25 | -10.750 |
| 26 | -10.661 |
| 27 | -10.164 |
| 28 | -10.601 |
| 29 | -10.325 |